Computed, not measured: crystalline RbWSe2 at its relaxed geometry at the GGA-PBE level of DFT.

Cell lengths 4.9131, 4.9131, 4.9131 Å; angles 60.00, 60.00, 60.00 degrees
Last column: nearest neighbours and their distance in Å.
Element x y z (fractional)
Se1 0.2500 0.2500 0.2500  4 W 3.01, 4 Rb 3.01
Se2 0.7500 0.7500 0.7500  4 W 3.01, 4 Rb 3.01
Rb1 0.0000 0.0000 0.0000  8 Se 3.01
W1 0.5000 0.5000 0.5000  8 Se 3.01

Computed properties:
- Calculated density: 8460 kg/m³
- Spin magnetization: 1.0 μB per formula unit
- Space-group type: Fm-3m
- Uncorrected formation energy: 572 meV per atom
- Relative energy among the computed polymorphs: 775 meV/atom